(1)
# Tm3MgPd | Alexandria | PBE | relaxed
# - Crystal system: monoclinic
# - Calculated formation energy: -289.8 meV per atom
# - Volume: 26.7 A^3/atom
# - Magnetization: 0.00 μB/atom
data_Tm3MgPd
_cell_length_a 11.6054
_cell_length_b 5.4394
_cell_length_c 9.1864
_cell_angle_alpha 90.00
_cell_angle_beta 112.98
_cell_angle_gamma 90.00
_space_group_name_H-M_alt 'C 1 2/m 1'
_space_group_IT_number 12
loop_
_space_group_symop_operation_xyz
'x,y,z'
'-x,-y,-z'
'-x,y,-z'
'x,-y,z'
'x+1/2,y+1/2,z'
'-x+1/2,-y+1/2,-z'
'-x+1/2,y+1/2,-z'
'x+1/2,-y+1/2,z'
loop_
_atom_site_label
_atom_site_type_symbol
_atom_site_fract_x
_atom_site_fract_y
_atom_site_fract_z
_atom_site_occupancy
Tm1 Tm 0.1138 0.0000 0.2703 1
Tm2 Tm 0.1144 0.5000 0.9064 1
Tm3 Tm 0.1697 0.0000 0.6802 1
Mg1 Mg 0.1069 0.5000 0.4601 1
Pd1 Pd 0.1256 0.0000 0.9711 1

---

(2)
# VCrH2 | Alexandria | PBE | relaxed
# - Crystal system: monoclinic
# - Volume: 7.2 A^3/atom
# - E above lowest polymorph: 0 meV/atom
# - Magnetization: 0.00 μB/atom
data_VCrH2
_cell_length_a 4.7884
_cell_length_b 2.7789
_cell_length_c 4.6111
_cell_angle_alpha 90.00
_cell_angle_beta 110.59
_cell_angle_gamma 90.00
_space_group_name_H-M_alt 'C 1 2/m 1'
_space_group_IT_number 12
loop_
_space_group_symop_operation_xyz
'x,y,z'
'-x,-y,-z'
'-x,y,-z'
'x,-y,z'
'x+1/2,y+1/2,z'
'-x+1/2,-y+1/2,-z'
'-x+1/2,y+1/2,-z'
'x+1/2,-y+1/2,z'
loop_
_atom_site_label
_atom_site_type_symbol
_atom_site_fract_x
_atom_site_fract_y
_atom_site_fract_z
_atom_site_occupancy
V1 V 0.0000 0.0000 0.0000 1
Cr1 Cr 0.0000 0.5000 0.5000 1
H1 H 0.2451 0.0000 0.7352 1

---

(3)
# Li2LaCl2 | Alexandria | PBE | relaxed
# - Crystal system: tetragonal
# - Volume: 20.7 A^3/atom
# - Formation energy from raw total energies: -103.9 kJ/mol of atoms
# - E above lowest polymorph: 5 meV/atom
# - Magnetization: 0.00 μB/atom
data_Li2LaCl2
_cell_length_a 4.5329
_cell_length_b 4.5329
_cell_length_c 10.0635
_cell_angle_alpha 90.00
_cell_angle_beta 90.00
_cell_angle_gamma 90.00
_space_group_name_H-M_alt 'I 4/m m m'
_space_group_IT_number 139
_space_group_name_Hall '-I 4 2'
loop_
_atom_site_label
_atom_site_type_symbol
_atom_site_fract_x
_atom_site_fract_y
_atom_site_fract_z
_atom_site_occupancy
Li1 Li 0.0000 0.0000 0.1401 1
La1 La 0.0000 0.0000 0.5000 1
Cl1 Cl 0.0000 0.5000 0.2500 1

---

(4)
# Na4In2HgBi2 | Alexandria | PBE | relaxed
# - Crystal system: triclinic
# - Calculated formation energy: -193.8 meV per atom
# - Volume: 31.9 A^3/atom
# - Magnetization: 0.00 μB/atom
data_Na4In2HgBi2
_cell_length_a 5.8443
_cell_length_b 6.6333
_cell_length_c 7.9790
_cell_angle_alpha 90.90
_cell_angle_beta 101.01
_cell_angle_gamma 108.24
_space_group_name_H-M_alt 'P -1'
_space_group_IT_number 2
loop_
_space_group_symop_operation_xyz
'x,y,z'
'-x,-y,-z'
loop_
_atom_site_label
_atom_site_type_symbol
_atom_site_fract_x
_atom_site_fract_y
_atom_site_fract_z
_atom_site_occupancy
Na1 Na 0.1357 0.2818 0.1502 1
Na2 Na 0.3212 0.0743 0.6137 1
In1 In 0.3209 0.5751 0.5861 1
Hg1 Hg 0.5000 0.0000 0.0000 1
Bi1 Bi 0.0683 0.7463 0.2616 1

---

(5)
# K2TlIrF8 | Alexandria | PBE | relaxed
# - Crystal system: trigonal
# - Volume: 18.2 A^3/atom
# - Formation energy from raw total energies: -183.8 kJ/mol of atoms
# - Magnetization: 0.17 μB/atom
data_K2TlIrF8
_cell_length_a 5.3193
_cell_length_b 5.3193
_cell_length_c 8.8883
_cell_angle_alpha 90.00
_cell_angle_beta 90.00
_cell_angle_gamma 120.00
_space_group_name_H-M_alt 'P -3 m 1'
_space_group_IT_number 164
_space_group_name_Hall '-P 3 2"'
loop_
_atom_site_label
_atom_site_type_symbol
_atom_site_fract_x
_atom_site_fract_y
_atom_site_fract_z
_atom_site_occupancy
K1 K 0.3333 0.6667 0.2422 1
Tl1 Tl 0.0000 0.0000 0.0000 1
Ir1 Ir 0.0000 0.0000 0.5000 1
F1 F 0.1645 0.3290 0.6337 1
F2 F 0.3333 0.6667 0.9589 1

---

(6)
# LuPuZnSn | Alexandria | PBE | relaxed
# - Crystal system: cubic
# - Calculated formation energy: -313.3 meV per atom
# - Volume: 24.4 A^3/atom
# - Magnetization: 1.57 μB/atom
data_LuPuZnSn
_cell_length_a 7.3079
_cell_length_b 7.3079
_cell_length_c 7.3079
_cell_angle_alpha 90.00
_cell_angle_beta 90.00
_cell_angle_gamma 90.00
_space_group_name_H-M_alt 'F -4 3 m'
_space_group_IT_number 216
_space_group_name_Hall 'F -4 2 3'
loop_
_atom_site_label
_atom_site_type_symbol
_atom_site_fract_x
_atom_site_fract_y
_atom_site_fract_z
_atom_site_occupancy
Lu1 Lu 0.0000 0.0000 0.0000 1
Pu1 Pu 0.0000 0.0000 0.5000 1
Zn1 Zn 0.2500 0.2500 0.7500 1
Sn1 Sn 0.2500 0.2500 0.2500 1